FeSiI2F (PBE with a Hubbard U, relaxed); electronic total energy = -3.431 eV per atom; space group = P4/mmm, No. 123; size of the total moment = 3.062 μB per formula unit
1.0
5.704 0.000 0.000
0.000 5.704 0.000
0.000 0.000 3.945
Fe Si I F
1 1 2 1
direct
0.000 0.000 0.000 Fe
0.500 0.500 0.500 Si
0.000 0.500 0.500 I
0.500 0.000 0.500 I
0.500 0.500 0.000 F